Record 1
Computed, not measured: a geometry-optimized Tl8In structure at the GGA-PBE level of DFT.

For the formation energy, the calculation gives 0.014 eV per atom. The value obtained for the magnetization is 0.0 Bohr magnetons per cell. Its total energy is -2.39 eV/atom.

The structure belongs to space group I4/mmm (No. 139); the cell edges are 11.471, 11.471 and 4.161 Å and the angles 90.00°, 90.00° and 90.00°. The distinct sites, in fractional coordinates, are Tl at (0.000, 0.333, 0.000), Tl at (0.164, 0.164, 0.500) and In at (0.000, 0.000, 0.000).

***

Record 2
Computed, not measured: a geometry-optimized TlIn structure at the GGA-PBE level of DFT.

For the formation energy, the calculation gives 0.012 eV per atom. The value obtained for the magnetization is 0.0 Bohr magnetons per cell. Its total energy is -2.54 eV/atom.

The structure belongs to space group Cmme (No. 67); the cell edges are 3.900, 5.454 and 10.979 Å and the angles 90.00°, 90.00° and 90.00°. The distinct sites, in fractional coordinates, are Tl at (0.000, 0.250, 0.133) and In at (0.000, 0.250, 0.617).